*w*
LiFeI2N | GGA-PBE | relaxed

Unit cell a=5.474 b=5.474 c=3.519 alpha=90.00 beta=90.00 gamma=90.00
Space group P4/mmm (No. 123)
Inequivalent atoms, fractional coordinates:
1 Li 0.000 0.000 0.000 [1 per cell]
2 Fe 0.500 0.500 0.500 [1 per cell]
3 I 0.000 0.500 0.500 [2 per cell]
4 N 0.500 0.500 0.000 [1 per cell]

Results
- Fermi-level density of states (states/eV/atom) = 0.506
- total moment (μB/atom) = 0.000

=====

*x*
LiFeI2N | GGA-PBE | relaxed

Unit cell a=5.306 b=5.306 c=3.729 alpha=90.00 beta=90.00 gamma=90.00
Space group P4/mmm (No. 123)
Inequivalent atoms, fractional coordinates:
1 Li 0.000 0.000 0.000 [1 per cell]
2 Fe 0.500 0.500 0.500 [1 per cell]
3 I 0.000 0.500 0.000 [2 per cell]
4 N 0.000 0.000 0.500 [1 per cell]

Results
- Fermi-level density of states (states/eV/atom) = 1.301
- total moment (μB/atom) = 0.707

=====

*w* wins, 106.9 kJ/mol of atoms ahead of the next structure.